No. 1
Material: GdTmTeO2
Method: DFT, GGA-PBE
State: optimized geometry

POSCAR file:
```
GdTmTeO2
1.0
-1.952 1.952 6.203
1.952 -1.952 6.203
1.952 1.952 -6.203
Gd Tm Te O
1 1 1 2
direct
0.000 0.000 0.000 Gd
0.676 0.676 0.000 Tm
0.339 0.339 0.000 Te
0.093 0.593 0.500 O
0.593 0.093 0.500 O
```

Summary:
Total energy: -7.40 eV per atom
V: 18.90 A^3/atom

No. 2
Material: GdTlO2
Method: DFT, GGA-PBE
State: optimized geometry

POSCAR file:
```
GdTlO2
1.0
-2.471 2.471 5.543
2.471 -2.471 5.543
2.471 2.471 -5.543
Gd Tl O
2 2 4
direct
0.375 0.625 0.750 Gd
0.625 0.375 0.250 Gd
0.125 0.875 0.250 Tl
0.875 0.125 0.750 Tl
0.170 0.420 0.750 O
0.420 0.170 0.250 O
0.580 0.830 0.750 O
0.830 0.580 0.250 O
```

Summary:
Total energy: -6.33 eV per atom
V: 16.93 A^3/atom